Record 1
The following is a DFT calculation (PBE-GGA) of a geometry-optimized MgVGa3 structure.

Results
- ΔE to the lowest computed polymorph: 0 meV per atom

Unit cell a=4.781 b=4.781 c=4.781 alpha=90.00 beta=90.00 gamma=90.00
Fractional positions:
V: 0.000 0.000 0.000
Ga: 0.000 0.500 0.000
Ga: 0.500 0.000 0.000
Ga: 0.000 0.000 0.500
Mg: 0.500 0.500 0.500

Record 2
The following is a DFT calculation (PBE-GGA) of a geometry-optimized Re2RhPb structure.

Results
- E_tot: -8.026 eV/atom

Unit cell a=4.741 b=4.741 c=2.993 alpha=90.00 beta=90.00 gamma=90.00
Fractional positions:
Re: 0.500 0.000 0.000
Re: 0.000 0.500 0.000
Pb: 0.000 0.000 0.500
Rh: 0.500 0.500 0.500